The following is a DFT calculation (GGA-PBE) of NaZnSnSb after structural relaxation.

Structure (extended XYZ):
```
4
Lattice="3.766 0.000 0.000 0.000 3.766 0.000 0.000 0.000 7.069" Properties=species:S:1:pos:R:3 pbc="T T T"
Na 0.000 0.000 0.000
Zn 0.000 0.000 3.419
Sn 1.883 1.883 4.959
Sb 1.883 1.883 2.054
```

Output
For the uncorrected formation energy, the calculation gives -22 kJ/mol of formula units. For the total DFT energy (no corrections), the calculation gives -2.738 eV per atom. The density of states at the Fermi level comes out at 1.29 states/eV per cell. The symmetry is P4mm, No. 99.